Material: Co2AgIr
Method: DFT, PBE-GGA
State: optimized geometry

POSCAR file:
```
Co2AgIr
1.0
-2.536 -1.953 -4.128
-4.443 -2.660 0.686
2.717 4.440 0.426
Ag Co Ir
1 2 1
Direct
0.758 0.258 0.500
0.025 0.025 0.000
0.241 0.741 0.500
0.476 0.476 0.000
```

Output
E	-6.146	eV/atom
crystal system	orthorhombic
formation enthalpy at 0 K	335	meV per atom
SG	No. 44

=====

Material: Ba5Mg4Au4
Method: DFT, PBE-GGA
State: optimized geometry

POSCAR file:
```
Ba5Mg4Au4
1.0
4.614 0.000 1.173
2.307 9.292 0.587
0.018 0.000 9.592
Ba Mg Au
5 4 4
Direct
0.707 0.925 0.661
0.293 0.075 0.339
0.000 0.000 0.000
0.632 0.661 0.075
0.368 0.339 0.925
0.900 0.531 0.670
0.569 0.330 0.531
0.100 0.469 0.330
0.431 0.670 0.469
0.726 0.324 0.224
0.274 0.676 0.776
0.950 0.776 0.324
0.050 0.224 0.676
```

Output
E	-2.729	eV/atom
crystal system	tetragonal
formation enthalpy at 0 K	-491	meV per atom
SG	No. 87

=====

Material: ScSbN2F
Method: DFT, PBE-GGA
State: optimized geometry

POSCAR file:
```
ScSbN2F
1.0
-3.120 2.885 0.328
-1.404 -1.078 -3.877
-2.336 -2.708 1.599
Sc Sb N F
1 1 2 1
Direct
0.000 0.000 0.000
0.500 0.500 0.500
0.000 0.500 0.000
0.500 0.000 0.000
0.000 0.000 0.500
```

Output
E_form (uncorrected)	-484	meV per atom
E	-6.279	eV/atom
offset from the most stable computed form	0.0	meV/atom
crystal system	tetragonal
SG	No. 123